(1)
A geometry-optimized Co2MoRh structure. Source: Alexandria via LeMat-Bulk, functional PBE.

Summary:
Distance to the lowest polymorph of the same formula   2 meV per atom
VASP energy   -32.54 eV per formula unit

Unit cell a=3.6963 b=3.6963 c=7.4869 alpha=90.00 beta=90.00 gamma=90.00
Fractional coordinates of all 8 atoms:
Co1 0.0000 0.0000 0.0000
Co2 0.0000 0.5000 0.2500
Co3 0.5000 0.0000 0.7500
Co4 0.5000 0.5000 0.5000
Mo1 0.0000 0.0000 0.5000
Mo2 0.5000 0.5000 0.0000
Rh1 0.0000 0.5000 0.7500
Rh2 0.5000 0.0000 0.2500

***

(2)
A geometry-optimized Li2SiGe structure. Source: Alexandria via LeMat-Bulk, functional PBE.

Summary:
Distance to the lowest polymorph of the same formula   15 meV per atom
VASP energy   -14.72 eV per formula unit
Raw formation energy   -0.214 eV per atom

Unit cell a=5.4509 b=8.1803 c=2.6751 alpha=90.00 beta=90.00 gamma=90.00
Fractional coordinates of all 8 atoms:
Li1 0.2500 0.2500 0.0000
Li2 0.2500 0.7500 0.0000
Li3 0.7500 0.2500 0.0000
Li4 0.7500 0.7500 0.0000
Si1 0.0000 0.0000 0.5000
Si2 0.5000 0.5000 0.5000
Ge1 0.0000 0.5000 0.5000
Ge2 0.5000 0.0000 0.5000

***

(3)
A geometry-optimized K3Y3AlS8 structure. Source: Alexandria via LeMat-Bulk, functional PBE.

Summary:
VASP energy   -83.18 eV per formula unit
Raw formation energy   -1.582 eV per atom

Unit cell a=8.8027 b=8.8027 c=8.8027 alpha=52.94 beta=52.94 gamma=52.94
Fractional coordinates of all 15 atoms:
K1 0.0000 0.5000 0.5000
K2 0.5000 0.0000 0.5000
K3 0.5000 0.5000 0.0000
Y1 0.0000 0.0000 0.5000
Y2 0.0000 0.5000 0.0000
Y3 0.5000 0.0000 0.0000
Al1 0.5000 0.5000 0.5000
S1 0.2345 0.2345 0.2345
S2 0.2571 0.7148 0.7148
S3 0.2852 0.2852 0.7429
S4 0.2852 0.7429 0.2852
S5 0.7148 0.2571 0.7148
S6 0.7148 0.7148 0.2571
S7 0.7429 0.2852 0.2852
S8 0.7655 0.7655 0.7655

***

(4)
A geometry-optimized Li2CdRuI structure. Source: Alexandria via LeMat-Bulk, functional PBE.

Summary:
VASP energy   -10.32 eV per formula unit
Raw formation energy   1.049 eV per atom

Unit cell a=4.7858 b=4.7858 c=6.1971 alpha=90.00 beta=90.00 gamma=90.00
Fractional coordinates of all 5 atoms:
Li1 0.0000 0.5000 0.0000
Li2 0.5000 0.0000 0.0000
Cd1 0.0000 0.0000 0.0000
Ru1 0.5000 0.5000 0.5000
I1 0.0000 0.0000 0.5000